Entry 1:
# Pa2TiAl4Au3

A relaxed structure of Pa2TiAl4Au3 (PBE, the Alexandria database).

Fermi-level density of states   0.9941 states/eV/atom
Formation energy   -8.999 kcal/mol of atoms

```
data_Pa2TiAl4Au3
_chemical_formula_sum 'Pa2 Ti1 Al4 Au3'
_space_group_name_H-M_alt 'P -4 m 2'
_space_group_IT_number 115
_space_group_name_Hall 'P -4 -2'
_cell_length_a 4.221
_cell_length_b 4.221
_cell_length_c 11.053
_cell_angle_alpha 90.00
_cell_angle_beta 90.00
_cell_angle_gamma 90.00
loop_
_atom_site_label
_atom_site_fract_x
_atom_site_fract_y
_atom_site_fract_z
_atom_site_occupancy
Pa1 0.000 0.500 0.244 1
Ti1 0.500 0.500 0.000 1
Al1 0.000 0.000 0.500 1
Al2 0.000 0.500 0.857 1
Al3 0.500 0.500 0.500 1
Au1 0.000 0.000 0.000 1
Au2 0.000 0.500 0.633 1
```

***

Entry 2:
# TmPaAlAu

A relaxed structure of TmPaAlAu (PBE, the Alexandria database).

Fermi-level density of states   1.8173 states/eV/atom
Formation energy   -5.088 kcal/mol of atoms

```
data_TmPaAlAu
_chemical_formula_sum 'Tm4 Pa4 Al4 Au4'
_space_group_name_H-M_alt 'F -4 3 m'
_space_group_IT_number 216
_space_group_name_Hall 'F -4 2 3'
_cell_length_a 7.201
_cell_length_b 7.201
_cell_length_c 7.201
_cell_angle_alpha 90.00
_cell_angle_beta 90.00
_cell_angle_gamma 90.00
loop_
_atom_site_label
_atom_site_fract_x
_atom_site_fract_y
_atom_site_fract_z
_atom_site_occupancy
Tm1 0.000 0.000 0.000 1
Pa1 0.000 0.000 0.500 1
Al1 0.250 0.250 0.750 1
Au1 0.250 0.250 0.250 1
```

***

Entry 3:
# PaAl2ZnAu4

A relaxed structure of PaAl2ZnAu4 (PBE, the Alexandria database).

Fermi-level density of states   0.6615 states/eV/atom
Formation energy   -8.667 kcal/mol of atoms

```
data_PaAl2ZnAu4
_chemical_formula_sum 'Pa3 Al6 Zn3 Au12'
_space_group_name_H-M_alt 'R -3 m'
_space_group_IT_number 166
_space_group_name_Hall '-R 3 2"'
_cell_length_a 4.4110
_cell_length_b 4.4110
_cell_length_c 26.6290
_cell_angle_alpha 90.00
_cell_angle_beta 90.00
_cell_angle_gamma 120.00
loop_
_atom_site_label
_atom_site_fract_x
_atom_site_fract_y
_atom_site_fract_z
_atom_site_occupancy
Pa1 0.0000 0.0000 0.0000 1
Al1 0.0000 0.0000 0.2423 1
Zn1 0.0000 0.0000 0.5000 1
Au1 0.0000 0.0000 0.1282 1
Au2 0.0000 0.0000 0.3929 1
```

***

Entry 4:
# PaAlZnAu

A relaxed structure of PaAlZnAu (PBE, the Alexandria database).

Fermi-level density of states   1.3280 states/eV/atom
Formation energy   -5.768 kcal/mol of atoms

```
data_PaAlZnAu
_chemical_formula_sum 'Pa4 Al4 Zn4 Au4'
_space_group_name_H-M_alt 'F -4 3 m'
_space_group_IT_number 216
_space_group_name_Hall 'F -4 2 3'
_cell_length_a 6.824
_cell_length_b 6.824
_cell_length_c 6.824
_cell_angle_alpha 90.00
_cell_angle_beta 90.00
_cell_angle_gamma 90.00
loop_
_atom_site_label
_atom_site_fract_x
_atom_site_fract_y
_atom_site_fract_z
_atom_site_occupancy
Pa1 0.000 0.000 0.000 1
Al1 0.000 0.000 0.500 1
Zn1 0.250 0.250 0.250 1
Au1 0.250 0.250 0.750 1
```

***

Entry 5:
# PaAl3ZnAu

A relaxed structure of PaAl3ZnAu (PBE, the Alexandria database).

Fermi-level density of states   0.9920 states/eV/atom
Formation energy   -0.374 kcal/mol of atoms

```
data_PaAl3ZnAu
_chemical_formula_sum 'Pa4 Al12 Zn4 Au4'
_space_group_name_H-M_alt 'C m c m'
_space_group_IT_number 63
_space_group_name_Hall '-C 2c 2'
_cell_length_a 6.034
_cell_length_b 13.684
_cell_length_c 5.670
_cell_angle_alpha 90.00
_cell_angle_beta 90.00
_cell_angle_gamma 90.00
loop_
_atom_site_label
_atom_site_fract_x
_atom_site_fract_y
_atom_site_fract_z
_atom_site_occupancy
Pa1 0.000 0.194 0.250 1
Al1 0.000 0.352 0.750 1
Al2 0.211 0.000 0.000 1
Zn1 0.000 0.150 0.750 1
Au1 0.000 0.403 0.250 1
```

***

Entry 6:
# PaAlZn2Au4

A relaxed structure of PaAlZn2Au4 (PBE, the Alexandria database).

Fermi-level density of states   0.6147 states/eV/atom
Formation energy   -7.462 kcal/mol of atoms

```
data_PaAlZn2Au4
_chemical_formula_sum 'Pa3 Al3 Zn6 Au12'
_space_group_name_H-M_alt 'R -3 m'
_space_group_IT_number 166
_space_group_name_Hall '-R 3 2"'
_cell_length_a 4.4319
_cell_length_b 4.4319
_cell_length_c 26.2832
_cell_angle_alpha 90.00
_cell_angle_beta 90.00
_cell_angle_gamma 120.00
loop_
_atom_site_label
_atom_site_fract_x
_atom_site_fract_y
_atom_site_fract_z
_atom_site_occupancy
Pa1 0.0000 0.0000 0.0000 1
Al1 0.0000 0.0000 0.5000 1
Zn1 0.0000 0.0000 0.2450 1
Au1 0.0000 0.0000 0.1298 1
Au2 0.0000 0.0000 0.3926 1
```

***

Entry 7:
# AlPbAu

A relaxed structure of AlPbAu (PBE, the Alexandria database).

Fermi-level density of states   0.4816 states/eV/atom
Formation energy   5.794 kcal/mol of atoms

```
data_AlPbAu
_chemical_formula_sum 'Al2 Pb2 Au2'
_space_group_name_H-M_alt 'P 63/m m c'
_space_group_IT_number 194
_space_group_name_Hall '-P 6c 2c'
_cell_length_a 5.1832
_cell_length_b 5.1832
_cell_length_c 5.8314
_cell_angle_alpha 90.00
_cell_angle_beta 90.00
_cell_angle_gamma 120.00
loop_
_atom_site_label
_atom_site_fract_x
_atom_site_fract_y
_atom_site_fract_z
_atom_site_occupancy
Al1 0.3333 0.6667 0.2500 1
Pb1 0.3333 0.6667 0.7500 1
Au1 0.0000 0.0000 0.0000 1
```

***

Entry 8:
# AlPbAu2

A relaxed structure of AlPbAu2 (PBE, the Alexandria database).

Fermi-level density of states   0.4606 states/eV/atom
Formation energy   -3.510 kcal/mol of atoms

```
data_AlPbAu2
_chemical_formula_sum 'Al3 Pb3 Au6'
_space_group_name_H-M_alt 'R 3 m'
_space_group_IT_number 160
_space_group_name_Hall 'R 3 -2"'
_cell_length_a 4.2892
_cell_length_b 4.2892
_cell_length_c 17.1261
_cell_angle_alpha 90.00
_cell_angle_beta 90.00
_cell_angle_gamma 120.00
loop_
_atom_site_label
_atom_site_fract_x
_atom_site_fract_y
_atom_site_fract_z
_atom_site_occupancy
Al1 0.0000 0.0000 0.0000 1
Pb1 0.0000 0.0000 0.1798 1
Au1 0.0000 0.0000 0.3928 1
Au2 0.0000 0.0000 0.6211 1
```

***

Entry 9:
# AlPbAu2

A relaxed structure of AlPbAu2 (PBE, the Alexandria database).

Fermi-level density of states   0.3834 states/eV/atom
Formation energy   -0.247 kcal/mol of atoms

```
data_AlPbAu2
_chemical_formula_sum 'Al2 Pb2 Au4'
_space_group_name_H-M_alt 'I m m m'
_space_group_IT_number 71
_space_group_name_Hall '-I 2 2'
_cell_length_a 3.601
_cell_length_b 5.365
_cell_length_c 8.922
_cell_angle_alpha 90.00
_cell_angle_beta 90.00
_cell_angle_gamma 90.00
loop_
_atom_site_label
_atom_site_fract_x
_atom_site_fract_y
_atom_site_fract_z
_atom_site_occupancy
Al1 0.000 0.000 0.000 1
Pb1 0.000 0.000 0.500 1
Au1 0.000 0.500 0.291 1
```

***

Entry 10:
# AlPb2Au5

A relaxed structure of AlPb2Au5 (PBE, the Alexandria database).

Fermi-level density of states   0.4019 states/eV/atom
Formation energy   -1.777 kcal/mol of atoms

```
data_AlPb2Au5
_chemical_formula_sum 'Al2 Pb4 Au10'
_space_group_name_H-M_alt 'C 1 m 1'
_space_group_IT_number 8
_space_group_name_Hall 'C -2y'
_cell_length_a 9.020
_cell_length_b 5.919
_cell_length_c 7.531
_cell_angle_alpha 90.00
_cell_angle_beta 116.12
_cell_angle_gamma 90.00
loop_
_atom_site_label
_atom_site_fract_x
_atom_site_fract_y
_atom_site_fract_z
_atom_site_occupancy
Al1 0.000 0.000 0.000 1
Pb1 0.030 0.000 0.455 1
Pb2 0.076 0.500 0.206 1
Au1 0.097 0.500 0.608 1
Au2 0.246 0.245 0.996 1
Au3 0.375 0.240 0.688 1
```

***

Entry 11:
# AlPbAu

A relaxed structure of AlPbAu (PBE, the Alexandria database).

Fermi-level density of states   0.3382 states/eV/atom
Formation energy   -3.082 kcal/mol of atoms

```
data_AlPbAu
_chemical_formula_sum 'Al2 Pb2 Au2'
_space_group_name_H-M_alt 'P 1'
_space_group_IT_number 1
_space_group_name_Hall 'P 1'
_cell_length_a 4.367
_cell_length_b 6.210
_cell_length_c 6.216
_cell_angle_alpha 110.67
_cell_angle_beta 90.88
_cell_angle_gamma 109.77
loop_
_atom_site_label
_atom_site_fract_x
_atom_site_fract_y
_atom_site_fract_z
_atom_site_occupancy
Al1 0.000 0.000 0.000 1
Al2 0.210 0.420 0.418 1
Pb1 0.703 0.396 0.774 1
Pb2 0.908 0.832 0.425 1
Au1 0.407 0.817 0.773 1
Au2 0.618 0.237 0.209 1
```

***

Entry 12:
# AlPb2Au

A relaxed structure of AlPb2Au (PBE, the Alexandria database).

Fermi-level density of states   0.4587 states/eV/atom
Formation energy   3.241 kcal/mol of atoms

```
data_AlPb2Au
_chemical_formula_sum 'Al1 Pb2 Au1'
_space_group_name_H-M_alt 'P 4/m m m'
_space_group_IT_number 123
_space_group_name_Hall '-P 4 2'
_cell_length_a 3.470
_cell_length_b 3.470
_cell_length_c 8.253
_cell_angle_alpha 90.00
_cell_angle_beta 90.00
_cell_angle_gamma 90.00
loop_
_atom_site_label
_atom_site_fract_x
_atom_site_fract_y
_atom_site_fract_z
_atom_site_occupancy
Al1 0.000 0.000 0.000 1
Pb1 0.500 0.500 0.264 1
Au1 0.000 0.000 0.500 1
```

***

Entry 13:
# AlPb2Au

A relaxed structure of AlPb2Au (PBE, the Alexandria database).

Fermi-level density of states   0.5535 states/eV/atom
Formation energy   4.358 kcal/mol of atoms

```
data_AlPb2Au
_chemical_formula_sum 'Al4 Pb8 Au4'
_space_group_name_H-M_alt 'I -4 2 d'
_space_group_IT_number 122
_space_group_name_Hall 'I -4 2bw'
_cell_length_a 8.139
_cell_length_b 8.139
_cell_length_c 6.275
_cell_angle_alpha 90.00
_cell_angle_beta 90.00
_cell_angle_gamma 90.00
loop_
_atom_site_label
_atom_site_fract_x
_atom_site_fract_y
_atom_site_fract_z
_atom_site_occupancy
Al1 0.000 0.000 0.000 1
Pb1 0.241 0.750 0.625 1
Au1 0.000 0.000 0.500 1
```